Entry 1:
Material: TmPu2Ge2Pd2
Method: DFT, PBE-GGA
State: relaxed

Values from the calculation:
For the calculated formation energy, the calculation gives -0.406 eV/atom.

Geometry as CIF:
```
data_TmPu2Ge2Pd2
_chemical_formula_sum 'Tm1 Pu2 Ge2 Pd2'
_space_group_name_H-M_alt 'P 1'
_space_group_IT_number 1
_cell_length_a 8.921
_cell_length_b 8.921
_cell_length_c 8.921
_cell_angle_alpha 27.20
_cell_angle_beta 27.20
_cell_angle_gamma 27.20
loop_
_space_group_symop_operation_xyz
'x,y,z'
loop_
_atom_site_label
_atom_site_type_symbol
_atom_site_fract_x
_atom_site_fract_y
_atom_site_fract_z
_atom_site_occupancy
Tm1 Tm 0.000 0.000 0.000 1
Pu1 Pu 0.154 0.154 0.154 1
Pu2 Pu 0.846 0.846 0.846 1
Ge1 Ge 0.267 0.267 0.267 1
Ge2 Ge 0.733 0.733 0.733 1
Pd1 Pd 0.422 0.422 0.422 1
Pd2 Pd 0.578 0.578 0.578 1
```


Entry 2:
Material: SmHoGaTc
Method: DFT, PBE-GGA
State: relaxed

Values from the calculation:
For the calculated formation energy, the calculation gives -0.188 eV/atom.

Geometry as CIF:
```
data_SmHoGaTc
_chemical_formula_sum 'Sm1 Ho1 Ga1 Tc1'
_space_group_name_H-M_alt 'P 1'
_space_group_IT_number 1
_cell_length_a 4.992
_cell_length_b 4.992
_cell_length_c 4.992
_cell_angle_alpha 60.00
_cell_angle_beta 60.00
_cell_angle_gamma 60.00
loop_
_space_group_symop_operation_xyz
'x,y,z'
loop_
_atom_site_label
_atom_site_type_symbol
_atom_site_fract_x
_atom_site_fract_y
_atom_site_fract_z
_atom_site_occupancy
Sm1 Sm 0.000 0.000 0.000 1
Ho1 Ho 0.500 0.500 0.500 1
Ga1 Ga 0.750 0.750 0.750 1
Tc1 Tc 0.250 0.250 0.250 1
```


Entry 3:
Material: CrBiOsS2
Method: DFT, PBE-GGA
State: relaxed

Values from the calculation:
For the raw formation energy, the calculation gives 5.33 eV per formula unit.

Geometry as CIF:
```
data_CrBiOsS2
_chemical_formula_sum 'Cr1 Bi1 Os1 S2'
_space_group_name_H-M_alt 'P 1'
_space_group_IT_number 1
_cell_length_a 4.420
_cell_length_b 4.420
_cell_length_c 6.090
_cell_angle_alpha 90.00
_cell_angle_beta 90.00
_cell_angle_gamma 90.00
loop_
_space_group_symop_operation_xyz
'x,y,z'
loop_
_atom_site_label
_atom_site_type_symbol
_atom_site_fract_x
_atom_site_fract_y
_atom_site_fract_z
_atom_site_occupancy
Cr1 Cr 0.000 0.000 0.000 1
Bi1 Bi 0.500 0.500 0.000 1
Os1 Os 0.500 0.500 0.500 1
S1 S 0.000 0.500 0.500 1
S2 S 0.500 0.000 0.500 1
```


Taking the records one at a time from the top gives magnetization values of 0.559; 0.000; 0.756 μB/f.u..
Taking the records one at a time from the top gives density values of 12.9; 9.1; 7.2 g/cm³.